Density functional theory data (PBE) for an optimized crystal structure of FeNiIr2. Values from VASP.

Values from the calculation:
DFT total energy, eV/atom: -8.00
ΔE_f, eV per atom: -0.010
Total magnetization, μB/f.u.: 2.0

Cell and atoms, written as Quantum ESPRESSO input:
```
&SYSTEM
  ibrav = 0, nat = 4, ntyp = 3
/
ATOMIC_SPECIES
Fe 55.84 Fe.upf
Ir 192.22 Ir.upf
Ni 58.69 Ni.upf
CELL_PARAMETERS angstrom
2.675 0.000 0.000
0.000 2.675 0.000
0.000 0.000 7.225
ATOMIC_POSITIONS crystal
Fe 0.500 0.500 0.750
Ir 0.000 0.000 0.502
Ir 0.000 0.000 0.998
Ni 0.500 0.500 0.250
```